w | DFT (PBE) results for crystalline Y2AgTe2 at its relaxed geometry.

```
5
Lattice="-2.895 -6.366 0.432 -3.330 -1.227 6.041 -0.112 5.161 -4.737" Properties=species:S:1:pos:R:3 pbc="T T T"
Ag 0.000 0.000 0.000
Te -2.224 -2.713 2.313
Te -4.001 -4.880 4.160
Y -3.060 -2.500 -0.534
Y -3.278 0.069 2.270
```

## Properties
Theoretical density   5.3 g/cm³

***

x | DFT (PBE) results for crystalline Y2AgTe2 at its relaxed geometry.

```
5
Lattice="3.708 -3.708 0.000 3.708 3.708 0.000 -3.708 0.000 6.592" Properties=species:S:1:pos:R:3 pbc="T T T"
Ag 0.000 0.000 0.000
Te 1.854 -1.854 3.296
Te 1.854 1.854 3.296
Y 3.708 0.000 1.796
Y 0.000 0.000 4.796
```

## Properties
Theoretical density   5.0 g/cm³

***

What is the stability order? It is w, x, from most stable to least stable.